RbCaCl3: relaxed, PBE.

- uncorrected energy (eV per cell) = -78.257
- SG = C2/c
- crystal system = monoclinic
- calculated volume (Å³/atom) = 33.05
- D(E_F) (states/eV per atom) = 0.00

a b c (Å): 9.694 9.694 7.067
angles (deg): 91.59 91.59 95.01
Atoms (fractional coordinates):
Rb: 0.074 0.255 0.127
Rb: 0.255 0.074 0.627
Rb: 0.745 0.926 0.373
Rb: 0.926 0.745 0.873
Ca: 0.270 0.730 0.250
Ca: 0.427 0.573 0.750
Ca: 0.573 0.427 0.250
Ca: 0.730 0.270 0.750
Cl: 0.040 0.779 0.437
Cl: 0.186 0.564 0.938
Cl: 0.221 0.960 0.063
Cl: 0.316 0.462 0.408
Cl: 0.436 0.814 0.562
Cl: 0.462 0.316 0.908
Cl: 0.538 0.684 0.092
Cl: 0.564 0.186 0.438
Cl: 0.684 0.538 0.592
Cl: 0.779 0.040 0.937
Cl: 0.814 0.436 0.062
Cl: 0.960 0.221 0.563